ZrTiCdRe, relaxed, DFT GGA-PBE; symmetry = F-43m (216); VASP energy = -30.1 eV for the cell shown
1.0
4.694 0.000 0.000
2.347 4.065 0.000
2.347 1.355 3.832
Re Ti Zr Cd
1 1 1 1
Direct
0.500 0.500 0.500 Re
0.250 0.250 0.250 Ti
0.750 0.750 0.750 Zr
0.000 0.000 0.000 Cd



Li2PaSeO8, relaxed, DFT GGA-PBE; symmetry = P-3m1 (164); ΔE_f (raw) = -13.32 eV/f.u.; VASP energy = -69.8 eV for the cell shown
1.0
4.561 0.000 0.000
-2.281 3.950 0.000
0.000 0.000 6.649
Li Pa Se O
2 1 1 8
Direct
0.667 0.333 0.186 Li
0.333 0.667 0.814 Li
0.000 0.000 0.500 Pa
0.000 0.000 0.000 Se
0.831 0.662 0.820 O
0.338 0.169 0.820 O
0.831 0.169 0.820 O
0.169 0.338 0.180 O
0.662 0.831 0.180 O
0.169 0.831 0.180 O
0.667 0.333 0.466 O
0.333 0.667 0.534 O



BeGe3Cl, relaxed, DFT GGA-PBE; symmetry = Pm-3m (221); ΔE_f (raw) = 2.16 eV/f.u.; VASP energy = -17.3 eV for the cell shown; energy above the lowest structure with this stoichiometry = 0 meV/atom
1.0
4.647 0.000 0.000
0.000 4.647 0.000
0.000 0.000 4.647
Be Ge Cl
1 3 1
Direct
0.000 0.000 0.000 Be
0.000 0.500 0.000 Ge
0.000 0.000 0.500 Ge
0.500 0.000 0.000 Ge
0.500 0.500 0.500 Cl



Tm2Sc3Al3, relaxed, DFT GGA-PBE; symmetry = Pmmm (47); VASP energy = -41.6 eV for the cell shown
1.0
4.553 0.000 0.000
0.000 4.535 0.000
0.000 0.000 8.547
Tm Sc Al
2 3 3
Direct
0.000 0.000 0.740 Tm
0.000 0.000 0.260 Tm
0.500 0.500 0.726 Sc
0.500 0.500 0.274 Sc
0.500 0.000 0.000 Sc
0.500 0.000 0.500 Al
0.000 0.500 0.000 Al
0.000 0.500 0.500 Al